The following is a DFT calculation (PBE-GGA) of a relaxed ZrSiPt crystal.

Results
Space group   No. 156
Formation energy without anion corrections   -1.12 eV/f.u.

a b c (Å): 3.0205 3.0205 6.5430
angles (deg): 90.00 90.00 120.00
Fractional coordinates of all 3 atoms:
Zr: 0.0000 0.0000 0.0000
Si: 0.6667 0.3333 0.6497
Pt: 0.3333 0.6667 0.3713